A plane-wave DFT calculation with GGA-PBE was carried out for a geometry-optimized Pa3Ga12Pd structure.

Lattice parameters (Å, degrees): 4.3068 4.3068 16.3392 90.00 90.00 90.00
Space group P4/mmm (No. 123)
Unique sites:
Pa: 0.0000 0.0000 0.0000 [1 per cell]
Pa: 0.0000 0.0000 0.2636 [2 per cell]
Ga: 0.0000 0.5000 0.1317 [4 per cell]
Ga: 0.0000 0.5000 0.3946 [4 per cell]
Ga: 0.5000 0.5000 0.0000 [1 per cell]
Ga: 0.5000 0.5000 0.2547 [2 per cell]
Ga: 0.5000 0.5000 0.5000 [1 per cell]
Pd: 0.0000 0.0000 0.5000 [1 per cell]

Output
Formation energy ... -341 meV/atom